# 1
First-principles (SCAN) data for P2BrClO at its PBEsol-relaxed geometry, as listed in the Alexandria database.

a = 5.0263 Å, b = 5.0263 Å, c = 3.7604 Å
α = 90.00°, β = 90.00°, γ = 90.00°
With the nearest neighbours (Å) after each atom.
Sites, in units of the cell vectors:
P 0.0000 0.5000 0.0000  2 Br 2.51
P 0.5000 0.0000 0.0000  2 Br 2.51
Br 0.0000 0.0000 0.0000  2 O 1.88
Cl 0.5000 0.5000 0.5000  8 P 3.14
O 0.0000 0.0000 0.5000  2 Br 1.88

Computed properties:
Formation energy (no corrections)   127.84 kJ per mole of atoms
V   95.0 Å³/f.u.
Fermi-level density of states   0.615 states/eV/atom



# 2
First-principles (SCAN) data for Co3O2F4 at its PBEsol-relaxed geometry, as listed in the Alexandria database.

a = 4.5374 Å, b = 5.3678 Å, c = 7.3819 Å
α = 84.07°, β = 86.91°, γ = 85.79°
With the nearest neighbours (Å) after each atom.
Sites, in units of the cell vectors:
Co 0.0000 0.0000 0.0000  2 O 1.87, 4 F 1.97-2.01
Co 0.0110 0.6526 0.3338  3 O 1.79-1.88, 3 F 1.91-1.96
Co 0.4798 0.1821 0.3454  1 O 1.75, 1 F 1.95
Co 0.5000 0.5000 0.0000  2 O 1.86, 4 F 1.96-2.05
Co 0.5202 0.8179 0.6546  1 O 1.75, 1 F 1.95
Co 0.9890 0.3474 0.6662  3 O 1.79-1.88, 3 F 1.91-1.96
O 0.1916 0.3710 0.4400  3 Co 1.75-1.86
O 0.1983 0.7039 0.1007  3 Co 1.86-1.88
O 0.8017 0.2961 0.8993  3 Co 1.86-1.88
O 0.8084 0.6290 0.5599  3 Co 1.75-1.86
F 0.2073 0.0355 0.7578  3 Co 1.95-1.97
F 0.2804 0.5307 0.7617  3 Co 1.91-2.05
F 0.2857 0.8563 0.4273  3 Co 1.92-2.04
F 0.3011 0.2000 0.0996  3 Co 1.96-2.02
F 0.6989 0.8000 0.9004  3 Co 1.96-2.02
F 0.7143 0.1437 0.5727  3 Co 1.92-2.04
F 0.7196 0.4693 0.2383  3 Co 1.91-2.05
F 0.7927 0.9645 0.2422  3 Co 1.95-1.97

Computed properties:
Energy relative to the lowest polymorph listed for this composition   0 meV per atom
Formation energy (no corrections)   -175.90 kJ per mole of atoms
V   89.1 Å³/f.u.
Fermi-level density of states   0.384 states/eV/atom



# 3
First-principles (SCAN) data for CaAgAu at its PBEsol-relaxed geometry, as listed in the Alexandria database.

a = 5.2891 Å, b = 5.2891 Å, c = 5.2891 Å
α = 139.53°, β = 139.53°, γ = 58.57°
With the nearest neighbours (Å) after each atom.
Sites, in units of the cell vectors:
Ca 0.0000 0.0000 0.0000  5 Ag 2.96-3.07, 5 Au 3.02-3.05
Ag 0.3204 0.3204 0.0000  5 Au 2.94-3.22, 5 Ca 2.96-3.07
Au 0.6691 0.6691 0.0000  5 Ag 2.94-3.22, 5 Ca 3.02-3.05

Computed properties:
Energy relative to the lowest polymorph listed for this composition   40 meV per atom
V   61.8 Å³/f.u.
Formation enthalpy at 0 K   -0.552 eV/atom
Fermi-level density of states   0.373 states/eV/atom



The evaluated energy for the records listed, in turn: -9.57 -10.55 -37.28 eV per atom.